Compound: Y2Zr30O63
Source: OQMD via LeMat-Bulk
Functional: PBE-GGA
Structure: optimized geometry

Results
The energy above the most stable polymorph in this dataset is 3 meV per atom.

Cell: 10.2641 10.3109 10.3170 Å, 90.00 90.26 90.14°
Closest atoms and distances in Å follow each position.
Space group P1 (No. 1)
One atom of each set of equivalent atoms:
Y (0.0000, 0.0000, 0.0000) x1  8 O 2.29-2.34
Y (0.0051, 0.7499, 0.7459) x1  8 O 2.30-2.45
Zr (0.0004, 0.7497, 0.2444) x1  8 O 2.14-2.29
Zr (0.0024, 0.9998, 0.4970) x1  8 O 2.15-2.40
Zr (0.0016, 0.4946, 0.4983) x1  8 O 2.12-2.30
Zr (0.0031, 0.4995, 0.9964) x1  8 O 2.16-2.26
Zr (0.0042, 0.2486, 0.2473) x1  8 O 2.16-2.32
Zr (0.2402, 0.7369, 0.4851) x1  7 O 2.08-2.27
Zr (0.2453, 0.0074, 0.7556) x1  5 O 2.04-2.24
Zr (0.2456, 0.2504, 0.9976) x1  5 O 2.07-2.28
Zr (0.2482, 0.7478, 0.9971) x1  5 O 2.06-2.28
Zr (0.2510, 0.2455, 0.4998) x1  5 O 2.08-2.32
Zr (0.2531, 0.5050, 0.7437) x1  4 O 2.05-2.14
Zr (0.2544, 0.9968, 0.2512) x1  4 O 2.06-2.14
Zr (0.2560, 0.4966, 0.2466) x1  4 O 2.04-2.08
Zr (0.5007, 0.4951, 0.9964) x1  8 O 2.17-2.25
Zr (0.5013, 0.9983, 0.9939) x1  8 O 2.17-2.30
Zr (0.5019, 0.2478, 0.7482) x1  8 O 2.16-2.34
Zr (0.5019, 0.2487, 0.2416) x1  8 O 2.17-2.27
Zr (0.5061, 0.7452, 0.2422) x1  7 O 2.13-2.24
Zr (0.5071, 0.4959, 0.4931) x1  7 O 2.14-2.23
Zr (0.5133, 0.0115, 0.4865) x1  7 O 2.11-2.21
Zr (0.5128, 0.7392, 0.7586) x1  7 O 2.11-2.19
Zr (0.7496, 0.9964, 0.7462) x1  4 O 2.06-2.19
Zr (0.7535, 0.9950, 0.2435) x1  4 O 2.04-2.09
Zr (0.7542, 0.2493, 0.9980) x1  4 O 2.06-2.09
Zr (0.7542, 0.4982, 0.2459) x1  4 O 2.05-2.07
Zr (0.7547, 0.7459, 0.4932) x1  5 O 2.08-2.31
Zr (0.7560, 0.4974, 0.7445) x1  4 O 2.04-2.08
Zr (0.7567, 0.2496, 0.4957) x1  4 O 2.07-2.11
Zr (0.7582, 0.7462, 0.9965) x1  5 O 2.07-2.27
Zr (0.9992, 0.2490, 0.7493) x1  8 O 2.16-2.24
O (0.1111, 0.8561, 0.3849) x1  3 Zr 2.08-2.19
O (0.1202, 0.6382, 0.1078) x1  3 Zr 2.08-2.20
O (0.1210, 0.3643, 0.8884) x1  3 Zr 2.07-2.24
O (0.1220, 0.1350, 0.6134) x1  4 Zr 2.11-2.34
O (0.1219, 0.6244, 0.6035) x1  3 Zr 2.08-2.33, 1 Y 2.30
O (0.1245, 0.1233, 0.8615) x1  3 Zr 2.04-2.28
O (0.1235, 0.3573, 0.3890) x1  3 Zr 2.08-2.21
O (0.1276, 0.3883, 0.1373) x1  3 Zr 2.06-2.25
O (0.1293, 0.3820, 0.6389) x1  3 Zr 2.09-2.27
O (0.1303, 0.1406, 0.1205) x1  2 Zr 2.07-2.16
O (0.1314, 0.6099, 0.3577) x1  4 Zr 2.08-2.30
O (0.1334, 0.1072, 0.3664) x1  2 Zr 2.07-2.20
O (0.1332, 0.8810, 0.1410) x1  2 Zr 2.06-2.20
O (0.1359, 0.6103, 0.8640) x1  3 Zr 2.05-2.28
O (0.1362, 0.8689, 0.8834) x1  2 Zr 2.06-2.24, 2 Y 2.29-2.30
O (0.1604, 0.8819, 0.6228) x1  2 Zr 2.07-2.22
O (0.3673, 0.8894, 0.3888) x1  3 Zr 2.14-2.27
O (0.3689, 0.6413, 0.6372) x1  3 Zr 2.14-2.27
O (0.3751, 0.1389, 0.8868) x1  4 Zr 2.10-2.33
O (0.3772, 0.3894, 0.8544) x1  3 Zr 2.08-2.23
O (0.3779, 0.6064, 0.1358) x1  3 Zr 2.04-2.24
O (0.3793, 0.0969, 0.6305) x1  3 Zr 2.10-2.34
O (0.3800, 0.3877, 0.3559) x1  3 Zr 2.04-2.24
O (0.3811, 0.1038, 0.1380) x1  3 Zr 2.07-2.22
O (0.3824, 0.3563, 0.1054) x1  3 Zr 2.09-2.19
O (0.3818, 0.3647, 0.6052) x1  3 Zr 2.12-2.27
O (0.3824, 0.8561, 0.1096) x1  3 Zr 2.11-2.25
O (0.3857, 0.6371, 0.3845) x1  3 Zr 2.09-2.22
O (0.3855, 0.8873, 0.8375) x1  3 Zr 2.08-2.30
O (0.3869, 0.1444, 0.3838) x1  3 Zr 2.12-2.17
O (0.3868, 0.6380, 0.8918) x1  3 Zr 2.12-2.17
O (0.5994, 0.8908, 0.6374) x1  3 Zr 2.18-2.19
O (0.6158, 0.1034, 0.8515) x1  3 Zr 2.07-2.17
O (0.6200, 0.1387, 0.1014) x1  3 Zr 2.08-2.21
O (0.6198, 0.3539, 0.8867) x1  3 Zr 2.09-2.22
O (0.6202, 0.8607, 0.3845) x1  3 Zr 2.13-2.22
O (0.6211, 0.6393, 0.1081) x1  3 Zr 2.13-2.25
O (0.6207, 0.6386, 0.6077) x1  3 Zr 2.13-2.21
O (0.6230, 0.3607, 0.3873) x1  3 Zr 2.11-2.26
O (0.6231, 0.8552, 0.8919) x1  3 Zr 2.08-2.21
O (0.6234, 0.8895, 0.1362) x1  3 Zr 2.04-2.23
O (0.6252, 0.1431, 0.6051) x1  3 Zr 2.08-2.23
O (0.6268, 0.3881, 0.6360) x1  3 Zr 2.06-2.25
O (0.6278, 0.3882, 0.1359) x1  3 Zr 2.06-2.23
O (0.6297, 0.6048, 0.8599) x1  3 Zr 2.08-2.24
O (0.6316, 0.6108, 0.3582) x1  3 Zr 2.07-2.24
O (0.6334, 0.1139, 0.3555) x1  3 Zr 2.09-2.27
O (0.8666, 0.8826, 0.8614) x1  2 Zr 2.06-2.27
O (0.8685, 0.1382, 0.8787) x1  2 Zr 2.06-2.21
O (0.8703, 0.6078, 0.6266) x1  2 Zr 2.04-2.23
O (0.8721, 0.1184, 0.1409) x1  2 Zr 2.06-2.20
O (0.8727, 0.8874, 0.3608) x1  3 Zr 2.05-2.28
O (0.8738, 0.8667, 0.6054) x1  2 Zr 2.09-2.21, 1 Y 2.31
O (0.8765, 0.3848, 0.8581) x1  3 Zr 2.06-2.26
O (0.8763, 0.6093, 0.1347) x1  3 Zr 2.05-2.24
O (0.8757, 0.8569, 0.1170) x1  3 Zr 2.07-2.31, 1 Y 2.29
O (0.8766, 0.1105, 0.6355) x1  3 Zr 2.10-2.24
O (0.8767, 0.3859, 0.3578) x1  3 Zr 2.06-2.24
O (0.8803, 0.6298, 0.8875) x1  2 Zr 2.07-2.16, 1 Y 2.31
O (0.8832, 0.3601, 0.6079) x1  3 Zr 2.07-2.20
O (0.8840, 0.3608, 0.1071) x1  3 Zr 2.08-2.22
O (0.8854, 0.6377, 0.3845) x1  3 Zr 2.08-2.23
O (0.8895, 0.1388, 0.3900) x1  3 Zr 2.09-2.20